(1)
Cs3Dy2PaSe6 | PBE | relaxed

For the energy relative to the elements, uncorrected, the calculation gives -1562 meV/atom. The calculation puts the total magnetization at 1.649 μB per formula unit. For the raw total energy, the calculation gives -5.08 eV per atom.

The structure belongs to space group C2/m (No. 12); the cell edges are 7.379, 12.778 and 8.763 Å and the angles 90.00°, 106.29° and 90.00°. Symmetry generates all atoms from Cs at (0.000, 0.000, 0.000), Cs at (0.000, 0.332, 0.000), Dy at (0.000, 0.167, 0.500), Pa at (0.000, 0.500, 0.500), Se at (0.228, 0.334, 0.687) and Se at (0.230, 0.000, 0.687).

(2)
Cs4Dy3PaTe8 | PBE | relaxed

For the energy relative to the elements, uncorrected, the calculation gives -1253 meV/atom. The calculation puts the total magnetization at 1.846 μB per formula unit. For the raw total energy, the calculation gives -4.49 eV per atom.

The structure belongs to space group R-3m (No. 166, hexagonal axes); the cell edges are 9.0806, 9.0806 and 26.9172 Å and the angles 90.00°, 90.00° and 120.00°. Symmetry generates all atoms from Cs at (0.0000, 0.0000, 0.0000), Cs at (0.0000, 0.5000, 0.0000), Dy at (0.0000, 0.5000, 0.5000), Pa at (0.0000, 0.0000, 0.5000), Te at (0.0000, 0.0000, 0.2299) and Te at (0.0017, 0.5009, 0.7694).

(3)
Cs2DyPa2Te6 | PBE | relaxed

For the energy relative to the elements, uncorrected, the calculation gives -1079 meV/atom. The calculation puts the total magnetization at 3.033 μB per formula unit. For the raw total energy, the calculation gives -5.09 eV per atom.

The structure belongs to space group C2/m (No. 12); the cell edges are 7.659, 13.251 and 9.633 Å and the angles 90.00°, 105.28° and 90.00°. Symmetry generates all atoms from Cs at (0.000, 0.167, 0.000), Dy at (0.000, 0.000, 0.500), Pa at (0.000, 0.333, 0.500), Te at (0.228, 0.500, 0.692) and Te at (0.231, 0.166, 0.692).

(4)
Cs3DyPa3Te8 | PBE | relaxed

For the energy relative to the elements, uncorrected, the calculation gives -1034 meV/atom. The calculation puts the total magnetization at 5.024 μB per formula unit. For the raw total energy, the calculation gives -5.09 eV per atom.

The structure belongs to space group R-3m (No. 166, hexagonal axes); the cell edges are 8.8506, 8.8506 and 27.7918 Å and the angles 90.00°, 90.00° and 120.00°. Symmetry generates all atoms from Cs at (0.0000, 0.5000, 0.0000), Dy at (0.0000, 0.0000, 0.5000), Pa at (0.0000, 0.5000, 0.5000), Te at (0.0000, 0.0000, 0.2320) and Te at (0.0006, 0.5003, 0.7692).

(5)
Cs3Dy2PbS6 | PBE | relaxed

For the energy relative to the elements, uncorrected, the calculation gives -1417 meV/atom. The calculation puts the total magnetization at 0.000 μB per formula unit. For the raw total energy, the calculation gives -4.77 eV per atom.

The structure belongs to space group C2/m (No. 12); the cell edges are 7.203, 12.483 and 8.405 Å and the angles 90.00°, 106.55° and 90.00°. Symmetry generates all atoms from Cs at (0.000, 0.000, 0.000), Cs at (0.000, 0.337, 0.000), Dy at (0.000, 0.167, 0.500), Pb at (0.000, 0.500, 0.500), S at (0.215, 0.000, 0.684) and S at (0.235, 0.327, 0.685).

(6)
CsDyTe3Pb | PBE | relaxed

For the energy relative to the elements, uncorrected, the calculation gives -1021 meV/atom. The calculation puts the total magnetization at 0.000 μB per formula unit. For the raw total energy, the calculation gives -4.12 eV per atom.

The structure belongs to space group P2_1/m (No. 11); the cell edges are 9.933, 4.512 and 12.249 Å and the angles 90.00°, 109.45° and 90.00°. Symmetry generates all atoms from Cs at (0.221, 0.250, 0.263), Dy at (0.367, 0.750, 0.850), Te at (0.133, 0.250, 0.808), Te at (0.350, 0.750, 0.588), Te at (0.410, 0.750, 0.109) and Pb at (0.138, 0.250, 0.568).

(7)
Cs3Pm2DyS6 | PBE | relaxed

For the energy relative to the elements, uncorrected, the calculation gives -1822 meV/atom. The calculation puts the total magnetization at 0.000 μB per formula unit. For the raw total energy, the calculation gives -5.27 eV per atom.

The structure belongs to space group C2/m (No. 12); the cell edges are 7.244, 12.546 and 8.438 Å and the angles 90.00°, 106.63° and 90.00°. Symmetry generates all atoms from Cs at (0.000, 0.000, 0.000), Cs at (0.000, 0.332, 0.000), Pm at (0.000, 0.167, 0.500), Dy at (0.000, 0.500, 0.500), S at (0.225, 0.337, 0.684) and S at (0.235, 0.000, 0.684).

(8)
Cs3PmDy2Se6 | PBE | relaxed

For the energy relative to the elements, uncorrected, the calculation gives -1728 meV/atom. The calculation puts the total magnetization at 0.000 μB per formula unit. For the raw total energy, the calculation gives -4.85 eV per atom.

The structure belongs to space group C2/m (No. 12); the cell edges are 7.453, 12.907 and 8.746 Å and the angles 90.00°, 106.51° and 90.00°. Symmetry generates all atoms from Cs at (0.000, 0.000, 0.000), Cs at (0.000, 0.335, 0.000), Pm at (0.000, 0.500, 0.500), Dy at (0.000, 0.167, 0.500), Se at (0.222, 0.000, 0.686) and Se at (0.232, 0.330, 0.687).